A geometry-optimized Li3PRh structure, computed with GGA-PBE.

## Properties
* E above lowest polymorph: 277 meV per atom
* formation energy from the elements: 519 meV per atom
* symmetry: Pm-3m

Cell: 4.451 4.451 4.451 Å, 90.00 90.00 90.00°
Sites, in units of the cell vectors:
P 0.500 0.500 0.500
Rh 0.000 0.000 0.000
Li 0.000 0.500 0.000
Li 0.000 0.000 0.500
Li 0.500 0.000 0.000

---

A geometry-optimized TbPmPaO6 structure, computed with GGA-PBE.

## Properties
* E: -8.56 eV per atom
* symmetry: P312

Cell: 4.680 5.895 5.895 Å, 120.00 90.00 90.00°
Last column: magnetic moment on the atom in μB.
Sites, in units of the cell vectors:
Tb 0.500 0.000 0.000  -0.01
Pm 0.500 0.667 0.333  0.00
Pa 0.000 0.333 0.667  -0.01
O 0.747 0.651 0.674  0.09
O 0.747 0.326 0.977  0.09
O 0.747 0.023 0.349  0.09
O 0.253 0.326 0.349  0.09
O 0.253 0.651 0.977  0.09
O 0.253 0.023 0.674  0.09

---

A geometry-optimized Li2Tl3WSe6 structure, computed with GGA-PBE.

## Properties
* E: -4.22 eV per atom
* symmetry: C2/m

Cell: 6.932 6.932 7.435 Å, 98.97 98.97 119.80°
Sites, in units of the cell vectors:
Li 0.335 0.665 0.000
Li 0.665 0.335 0.000
Tl 0.163 0.837 0.500
Tl 0.837 0.163 0.500
Tl 0.500 0.500 0.500
W 0.000 0.000 0.000
Se 0.935 0.630 0.799
Se 0.762 0.762 0.204
Se 0.065 0.370 0.201
Se 0.630 0.935 0.799
Se 0.238 0.238 0.796
Se 0.370 0.065 0.201

---

Number 1: magnetization 0.1 μB/f.u., D(E_F) 4.42 states/eV/f.u.. Number 2: magnetization 0.7 μB/f.u., D(E_F) 9.29 states/eV/f.u.. Number 3: magnetization 0.0 μB/f.u., D(E_F) 3.56 states/eV/f.u..